## InPdSe2 (PBE)

Data for crystalline InPdSe2 at its relaxed geometry.

For the total energy, the calculation gives -4.05 eV/atom. The formation energy from raw total energies is -1.3 eV per formula unit.

The space group is I-42d (No. 122) and the conventional cell measures 6.016, 6.016 and 11.909 Å, with angles of 90.00, 90.00 and 90.00 degrees. The asymmetric unit holds In at (0.000, 0.000, 0.000), Pd at (0.000, 0.000, 0.500) and Se at (0.224, 0.250, 0.625).